Entry from the Alexandria database: a geometry-optimized NiSbI2N structure (PBE).

Calculated values
The calculation puts the total DFT energy (no corrections) at -3.098 eV per atom. As for the calculated volume: 145 Å³ per cell. The value obtained for the polymorph energy (0 for the lowest one) is 263 kJ/mol of formula units. Its uncorrected formation energy is 1168 meV per atom. For the total magnetic moment, the calculation gives 2.9 μB/cell.

Structure (CIF):
```
data_NiSbI2N
_chemical_formula_sum 'Ni1 Sb1 I2 N1'
_symmetry_space_group_name_H-M 'P 4/m m m'
_symmetry_Int_Tables_number 123
_symmetry_space_group_name_Hall '-P 4 2'
_cell_length_a 5.513
_cell_length_b 5.513
_cell_length_c 4.787
_cell_angle_alpha 90.00
_cell_angle_beta 90.00
_cell_angle_gamma 90.00
loop_
_atom_site_label
_atom_site_type_symbol
_atom_site_fract_x
_atom_site_fract_y
_atom_site_fract_z
_atom_site_occupancy
Ni1 Ni 0.000 0.000 0.000 1
Sb1 Sb 0.000 0.000 0.500 1
I1 I 0.000 0.500 0.000 1
N1 N 0.500 0.500 0.500 1
```